# 1
The following is a DFT calculation (PBE) of a geometry-optimized CsBe3Ru structure.

The structure in POSCAR format:
```
CsBe3Ru
1.0
4.600 0.000 0.000
0.000 4.600 0.000
0.000 0.000 4.600
Be Cs Ru
3 1 1
Direct
0.000 0.500 0.000
0.500 0.000 0.000
0.000 0.000 0.500
0.500 0.500 0.500
0.000 0.000 0.000
```

Distance to the lowest polymorph of the same formula = 0 meV/atom
Formation enthalpy at 0 K = 774 meV per atom

***

# 2
The following is a DFT calculation (PBE) of a geometry-optimized RuPtN2F structure.

The structure in POSCAR format:
```
RuPtN2F
1.0
-0.921 -3.509 -1.355
-0.901 -1.149 3.587
-3.805 1.217 -0.566
F Pt Ru N
1 1 1 2
Direct
0.000 0.000 0.500
0.500 0.500 0.500
0.000 0.000 0.000
0.000 0.500 0.000
0.500 0.000 0.000
```

Formation energy without anion corrections = 0.88 eV/atom
Distance to the lowest polymorph of the same formula = 0 meV/atom

***

# 3
The following is a DFT calculation (PBE) of a geometry-optimized Ca3LaAg structure.

The structure in POSCAR format:
```
Ca3LaAg
1.0
-3.245 4.322 -2.066
-4.744 -2.552 2.111
0.666 2.878 4.975
Ca La Ag
3 1 1
Direct
0.000 0.500 0.000
0.500 0.000 0.000
0.000 0.000 0.500
0.000 0.000 0.000
0.500 0.500 0.500
```

Distance to the lowest polymorph of the same formula = 942 meV/atom
Formation enthalpy at 0 K = 1013 meV per atom

***

# 4
The following is a DFT calculation (PBE) of a geometry-optimized AgBiW2 structure.

The structure in POSCAR format:
```
AgBiW2
1.0
3.985 0.000 0.000
0.000 3.985 0.000
1.993 1.993 10.347
W Bi Ag
4 2 2
Direct
0.578 0.125 0.250
0.172 0.625 0.250
0.375 0.422 0.750
0.875 0.828 0.750
0.000 0.000 0.000
0.750 0.250 0.500
0.250 0.750 0.500
0.500 0.500 0.000
```

Formation enthalpy at 0 K = 1096 meV per atom

***

# 5
The following is a DFT calculation (PBE) of a geometry-optimized RbMn2AsOs structure.

The structure in POSCAR format:
```
RbMn2AsOs
1.0
-0.262 -0.260 5.117
4.457 -1.512 0.152
1.634 4.852 0.330
Mn Os As Rb
2 1 1 1
Direct
0.500 0.000 0.000
0.000 0.000 0.500
0.000 0.000 0.000
0.000 0.500 0.000
0.500 0.500 0.500
```

Formation enthalpy at 0 K = 547 meV per atom

***

# 6
The following is a DFT calculation (PBE) of a geometry-optimized La2MgHgRu structure.

The structure in POSCAR format:
```
La2MgHgRu
1.0
-1.226 -4.018 -3.334
-1.191 -3.119 4.197
-4.935 1.651 -0.174
Hg Mg La Ru
1 1 2 1
Direct
0.500 0.500 0.500
0.000 0.000 0.500
0.500 0.000 0.000
0.000 0.500 0.000
0.000 0.000 0.000
```

Distance to the lowest polymorph of the same formula = 0 meV/atom
Formation enthalpy at 0 K = -273 meV per atom

***

# 7
The following is a DFT calculation (PBE) of a geometry-optimized Y4PbC structure.

The structure in POSCAR format:
```
Y4PbC
1.0
-1.803 4.744 3.392
-3.794 -6.483 -1.637
3.777 -4.200 7.883
Y C Pb
8 2 2
Direct
0.998 0.252 0.550
0.395 0.126 0.750
0.397 0.270 0.250
0.603 0.730 0.750
0.998 0.252 0.950
0.002 0.748 0.450
0.002 0.748 0.050
0.605 0.874 0.250
0.002 0.904 0.250
0.998 0.096 0.750
0.998 0.590 0.750
0.002 0.410 0.250
```

Formation enthalpy at 0 K = -156 meV per atom

***

# 8
The following is a DFT calculation (PBE) of a geometry-optimized CsTmGa2I6 structure.

The structure in POSCAR format:
```
CsTmGa2I6
1.0
-6.348 -5.335 -0.875
0.136 -7.335 3.967
-5.588 -1.028 7.060
I Ga Cs Tm
6 2 1 1
Direct
0.554 0.275 0.224
0.947 0.554 0.224
0.338 0.725 0.766
0.171 0.338 0.766
0.275 0.947 0.224
0.725 0.171 0.766
0.000 0.000 0.001
0.512 0.512 0.464
0.812 0.812 0.564
0.328 0.328 0.016
```

Formation energy without anion corrections = -0.99 eV/atom

***

# 9
The following is a DFT calculation (PBE) of a geometry-optimized Y2AlSb structure.

The structure in POSCAR format:
```
Y2AlSb
1.0
-2.495 2.704 -0.461
-1.817 -2.096 -2.461
-4.285 -2.981 5.704
Al Y Sb
1 2 1
Direct
0.000 0.000 0.536
0.000 0.000 0.967
0.500 0.500 0.289
0.500 0.500 0.707
```

Formation energy without anion corrections = -0.31 eV/atom
Distance to the lowest polymorph of the same formula = 437 meV/atom

***

# 10
The following is a DFT calculation (PBE) of a geometry-optimized NbV2Si structure.

The structure in POSCAR format:
```
NbV2Si
1.0
7.041 0.000 0.000
0.000 7.041 0.000
3.521 3.521 2.534
Nb Si V
2 2 4
Direct
0.750 0.250 0.500
0.000 0.000 0.000
0.250 0.750 0.500
0.500 0.500 0.000
0.375 0.409 0.750
0.591 0.125 0.250
0.875 0.841 0.750
0.159 0.625 0.250
```

Formation energy without anion corrections = 0.31 eV/atom

***

# 11
The following is a DFT calculation (PBE) of a geometry-optimized Mo2RuCl structure.

The structure in POSCAR format:
```
Mo2RuCl
1.0
-2.167 -3.862 2.155
1.500 -0.514 -4.663
2.564 -0.922 0.926
Mo Cl Ru
2 1 1
Direct
0.000 0.000 0.000
0.500 0.500 0.000
0.000 0.500 0.500
0.500 0.000 0.500
```

Formation energy without anion corrections = 0.78 eV/atom
Distance to the lowest polymorph of the same formula = 567 meV/atom

***

# 12
The following is a DFT calculation (PBE) of a geometry-optimized CaLa3Sm2 structure.

The structure in POSCAR format:
```
CaLa3Sm2
1.0
7.423 0.000 0.000
-3.712 4.645 -2.515
0.000 0.665 12.307
La Sm Ca
6 4 2
Direct
0.043 0.337 0.086
0.293 0.337 0.586
0.375 0.000 0.750
0.957 0.663 0.914
0.625 0.000 0.250
0.707 0.663 0.414
0.788 0.325 0.575
0.212 0.675 0.425
0.462 0.675 0.925
0.538 0.325 0.075
0.125 0.000 0.250
0.875 0.000 0.750
```

Formation enthalpy at 0 K = 59 meV per atom

***

# 13
The following is a DFT calculation (PBE) of a geometry-optimized YMgPa2N5 structure.

The structure in POSCAR format:
```
YMgPa2N5
1.0
3.519 0.000 0.000
-1.759 6.829 0.000
0.000 0.000 11.120
N Pa Y Mg
10 4 2 2
Direct
0.706 0.412 0.831
0.940 0.881 0.561
0.294 0.588 0.331
0.369 0.738 0.079
0.533 0.066 0.298
0.631 0.262 0.579
0.060 0.119 0.061
0.713 0.426 0.146
0.467 0.934 0.798
0.287 0.574 0.646
0.866 0.733 0.199
0.123 0.247 0.240
0.877 0.753 0.740
0.134 0.267 0.699
0.781 0.561 0.484
0.219 0.439 0.984
0.504 0.008 0.986
0.496 0.992 0.486
```

Formation energy without anion corrections = -1.36 eV/atom

***

# 14
The following is a DFT calculation (PBE) of a geometry-optimized K3Th2PaS6 structure.

The structure in POSCAR format:
```
K3Th2PaS6
1.0
7.018 -0.001 0.000
-3.508 6.079 0.000
-1.171 -2.027 7.552
S Th K Pa
6 2 3 1
Direct
0.253 0.253 0.787
0.929 0.605 0.788
0.605 0.929 0.788
0.747 0.747 0.213
0.395 0.071 0.212
0.071 0.395 0.212
0.666 0.334 0.000
0.334 0.666 0.000
0.831 0.169 0.500
0.500 0.500 0.500
0.169 0.831 0.500
0.000 0.000 0.000
```

Formation energy without anion corrections = -1.60 eV/atom

***

# 15
The following is a DFT calculation (PBE) of a geometry-optimized RbTc3Ni structure.

The structure in POSCAR format:
```
RbTc3Ni
1.0
4.596 0.000 0.000
0.000 4.596 0.000
0.000 0.000 4.596
Tc Rb Ni
3 1 1
Direct
0.500 0.000 0.000
0.000 0.500 0.000
0.000 0.000 0.500
0.000 0.000 0.000
0.500 0.500 0.500
```

Distance to the lowest polymorph of the same formula = 1617 meV/atom
Formation enthalpy at 0 K = 3468 meV per atom

***

# 16
The following is a DFT calculation (PBE) of a geometry-optimized CrCoGe structure.

The structure in POSCAR format:
```
CrCoGe
1.0
-3.747 -1.646 0.080
2.875 -1.329 2.593
-1.463 3.497 3.415
Cr Co Ge
2 2 2
Direct
0.000 0.000 0.000
0.000 0.000 0.500
0.667 0.333 0.750
0.333 0.667 0.250
0.333 0.667 0.750
0.667 0.333 0.250
```

Formation enthalpy at 0 K = -96 meV per atom

***

# 17
The following is a DFT calculation (PBE) of a geometry-optimized Mg2TcP structure.

The structure in POSCAR format:
```
Mg2TcP
1.0
-1.614 -0.934 2.077
2.256 -1.005 1.301
0.942 7.319 4.023
Tc P Mg
1 1 2
Direct
0.500 0.500 0.750
0.500 0.500 0.250
0.000 0.000 0.000
0.000 0.000 0.500
```

Formation enthalpy at 0 K = 135 meV per atom

***

# 18
The following is a DFT calculation (PBE) of a geometry-optimized LaPmInGa structure.

The structure in POSCAR format:
```
LaPmInGa
1.0
3.784 0.000 0.000
0.000 3.784 0.000
0.000 0.000 7.739
Pm La Ga In
1 1 1 1
Direct
0.500 0.500 0.593
0.500 0.500 0.121
0.000 0.000 0.368
0.000 0.000 0.846
```

Distance to the lowest polymorph of the same formula = 0 meV/atom
Formation enthalpy at 0 K = -537 meV per atom

***

# 19
The following is a DFT calculation (PBE) of a geometry-optimized SrPb2W structure.

The structure in POSCAR format:
```
SrPb2W
1.0
0.000 3.721 3.721
3.721 0.000 3.721
3.721 3.721 0.000
Pb W Sr
2 1 1
Direct
0.750 0.750 0.750
0.250 0.250 0.250
0.500 0.500 0.500
0.000 0.000 0.000
```

Distance to the lowest polymorph of the same formula = 209 meV/atom
Formation enthalpy at 0 K = 659 meV per atom

***

# 20
The following is a DFT calculation (PBE) of a geometry-optimized Li5Sm3S12 structure.

The structure in POSCAR format:
```
Li5Sm3S12
1.0
-8.195 -0.835 -11.115
-2.181 -10.949 8.170
-2.857 11.600 6.975
S Li Sm
48 20 12
Direct
0.405 0.336 0.607
0.164 0.771 0.569
0.595 0.931 0.702
0.798 0.893 0.229
0.702 0.271 0.607
0.164 0.393 0.095
0.431 0.702 0.095
0.836 0.607 0.905
0.393 0.229 0.298
0.771 0.607 0.202
0.905 0.107 0.836
0.771 0.164 0.069
0.069 0.664 0.771
0.107 0.905 0.336
0.931 0.595 0.202
0.729 0.431 0.336
0.069 0.405 0.798
0.729 0.298 0.893
0.336 0.931 0.729
0.336 0.405 0.107
0.607 0.836 0.405
0.405 0.069 0.298
0.595 0.664 0.393
0.893 0.095 0.664
0.569 0.298 0.905
0.107 0.202 0.271
0.298 0.729 0.393
0.229 0.393 0.798
0.836 0.229 0.431
0.664 0.069 0.271
0.798 0.905 0.069
0.393 0.164 0.595
0.702 0.431 0.595
0.202 0.107 0.771
0.893 0.798 0.729
0.607 0.771 0.702
0.298 0.569 0.405
0.931 0.336 0.229
0.095 0.202 0.431
0.271 0.569 0.664
0.569 0.271 0.164
0.202 0.095 0.931
0.905 0.798 0.569
0.431 0.729 0.836
0.229 0.836 0.931
0.664 0.595 0.893
0.271 0.702 0.107
0.095 0.893 0.164
0.875 0.625 0.750
0.000 0.500 0.000
0.250 0.375 0.625
0.375 0.125 0.750
0.000 0.000 0.500
0.000 0.500 0.500
0.625 0.875 0.250
0.750 0.125 0.875
0.500 0.500 0.500
0.875 0.250 0.625
0.750 0.625 0.375
0.375 0.250 0.125
0.125 0.750 0.375
0.125 0.375 0.250
0.625 0.750 0.875
0.500 0.500 0.000
0.000 0.000 0.000
0.500 0.000 0.500
0.250 0.875 0.125
0.500 0.000 0.000
0.250 0.125 0.375
0.750 0.375 0.125
0.125 0.875 0.750
0.375 0.750 0.625
0.125 0.250 0.875
0.750 0.875 0.625
0.875 0.750 0.125
0.250 0.625 0.875
0.625 0.250 0.375
0.875 0.125 0.250
0.375 0.625 0.250
0.625 0.375 0.750
```

Formation energy without anion corrections = -0.97 eV/atom

***

# 21
The following is a DFT calculation (PBE) of a geometry-optimized Li3Cd2In2Ag4 structure.

The structure in POSCAR format:
```
Li3Cd2In2Ag4
1.0
-2.101 1.936 3.672
-1.631 -3.975 -1.785
6.817 -5.958 7.042
Ag In Cd Li
4 2 2 3
Direct
0.667 0.333 0.179
0.333 0.667 0.821
0.333 0.667 0.323
0.667 0.333 0.677
0.667 0.333 0.919
0.333 0.667 0.081
0.667 0.333 0.430
0.333 0.667 0.570
0.000 0.000 0.000
0.000 0.000 0.272
0.000 0.000 0.728
```

Formation enthalpy at 0 K = -179 meV per atom

***

# 22
The following is a DFT calculation (PBE) of a geometry-optimized YPuHgAu structure.

The structure in POSCAR format:
```
YPuHgAu
1.0
5.221 0.000 0.000
2.611 4.522 0.000
2.611 1.507 4.263
Y Pu Hg Au
1 1 1 1
Direct
0.500 0.500 0.500
0.000 0.000 0.000
0.750 0.750 0.750
0.250 0.250 0.250
```

Distance to the lowest polymorph of the same formula = 46 meV/atom
Formation enthalpy at 0 K = -416 meV per atom

***

What final energy values result from the calculations? In sequence: -17.44 -29.42 -8.72 -56.51 -32.45 -22.39 -79.44 -30.59 -22.05 -64.98 -29.65 -51.73 -161.89 -71.65 -20.51 -43.27 -18.43 -17.59 -19.41 -370.24 -26.42 -26.04 eV for the cell shown.